[1]
Density functional theory data (PBE with a Hubbard U) for a relaxed structure of Tl2ZnCrF.

a b c (Å): 5.8163 3.8812 5.8163
angles (deg): 90.00 90.00 90.00
Last column: nearest neighbours and their distance in Å.
Positions (direct):
Zn (0.5000, 0.5000, 0.5000)  8 Tl 3.50, 2 Zn 3.88
Cr (0.0000, 0.0000, 0.0000)  2 F 1.94
Tl (0.5000, 0.0000, 0.0000)  2 Cr 2.91
Tl (0.0000, 0.0000, 0.5000)  2 Cr 2.91
F (0.0000, 0.5000, 0.0000)  2 Cr 1.94

## Properties
DOS(E_F) in states/eV per cell: 3.17
Total magnetic moment in μB per formula unit: 3.920
Final energy in eV/atom: -3.42
SG: P4/mmm (123)


[2]
Density functional theory data (PBE with a Hubbard U) for a relaxed structure of TlZnCrF6.

a b c (Å): 5.4173 5.4159 6.0511
angles (deg): 89.95 89.98 60.00
Last column: nearest neighbours and their distance in Å.
Positions (direct):
F (0.6315, 0.3850, 0.6798)  1 Cr 1.96, 1 Zn 2.08
F (0.3852, 0.9831, 0.6798)  1 Cr 1.96, 1 Zn 2.08
F (0.9832, 0.6313, 0.6799)  1 Cr 1.96, 1 Zn 2.08
F (0.3853, 0.6317, 0.3202)  1 Cr 1.96, 1 Zn 2.08
F (0.9832, 0.3855, 0.3201)  1 Cr 1.96, 1 Zn 2.08
F (0.6315, 0.9834, 0.3202)  1 Cr 1.96, 1 Zn 2.08
Tl (0.0000, 0.0000, 0.0000)  6 F 2.81-2.82
Cr (0.6667, 0.6666, 0.5000)  6 F 1.96
Zn (0.3332, 0.3334, 0.5000)  6 F 2.08

## Properties
DOS(E_F) in states/eV per cell: 0.00
Total magnetic moment in μB per formula unit: 2.993
Final energy in eV/atom: -4.92
SG: P312 (149)


[3]
Density functional theory data (PBE with a Hubbard U) for a relaxed structure of Tm2CrF8.

a b c (Å): 3.4105 5.6746 7.4890
angles (deg): 105.20 103.16 90.00
Last column: nearest neighbours and their distance in Å.
Positions (direct):
F (0.3178, 0.0293, 0.6355)  3 Tm 2.30-2.34, 2 F 2.56
Tm (0.8186, 0.3011, 0.6373)  9 F 2.21-2.36
F (0.4000, 0.5005, 0.7999)  2 Tm 2.21
Tm (0.1814, 0.6989, 0.3627)  9 F 2.21-2.36
F (0.9581, 0.1650, 0.9163)  2 Cr 2.11, 1 Tm 2.36
F (0.0419, 0.8350, 0.0837)  2 Cr 2.11, 1 Tm 2.36
F (0.6000, 0.4995, 0.2001)  2 Tm 2.21
F (0.7843, 0.6639, 0.5686)  3 Tm 2.25-2.32
F (0.2157, 0.3361, 0.4314)  3 Tm 2.25-2.32
F (0.6822, 0.9707, 0.3645)  3 Tm 2.30-2.34, 2 F 2.56
Cr (0.5000, 0.0000, 0.0000)  4 F 2.11

## Properties
DOS(E_F) in states/eV per cell: 0.00
Total magnetic moment in μB per formula unit: 4.000
Final energy in eV/atom: -6.53
SG: C2/m (12)


[4]
Density functional theory data (PBE with a Hubbard U) for a relaxed structure of UCr4F12.

a b c (Å): 7.3181 7.3181 7.3181
angles (deg): 114.25 116.06 98.62
Last column: nearest neighbours and their distance in Å.
Positions (direct):
F (0.9611, 0.2833, 0.6777)  2 Cr 2.09
F (0.7333, 0.9303, 0.1970)  2 Cr 1.99
F (0.6056, 0.2833, 0.3223)  2 Cr 2.09
Cr (0.0000, 0.0000, 0.5000)  4 F 1.99-2.09
F (0.2667, 0.4637, 0.1970)  2 Cr 1.99
F (0.8166, 0.2894, 0.1060)  1 U 2.20
U (0.0000, 0.5000, 0.5000)  4 F 2.20
F (0.2667, 0.0697, 0.8030)  2 Cr 1.99
F (0.3944, 0.7167, 0.6777)  2 Cr 2.09
Cr (0.0000, 0.5000, 0.0000)  4 F 1.99-2.09
F (0.1834, 0.7106, 0.8940)  1 U 2.20
F (0.1834, 0.2894, 0.4728)  1 U 2.20
F (0.0389, 0.7167, 0.3223)  2 Cr 2.09
Cr (0.5000, 0.0000, 0.0000)  4 F 1.99-2.09
F (0.8166, 0.7106, 0.5272)  1 U 2.20
Cr (0.5000, 0.5000, 0.5000)  4 F 1.99-2.09
F (0.7333, 0.5363, 0.8030)  2 Cr 1.99

## Properties
DOS(E_F) in states/eV per cell: 5.76
Total magnetic moment in μB per formula unit: 14.000
Final energy in eV/atom: -6.56
SG: Immm (71)


[5]
Density functional theory data (PBE with a Hubbard U) for a relaxed structure of VCr2F2.

a b c (Å): 4.8552 4.8552 5.3655
angles (deg): 63.10 63.10 90.00
Last column: nearest neighbours and their distance in Å.
Positions (direct):
V (0.0000, 0.0000, 0.0000)  2 F 2.07
Cr (0.7500, 0.2500, 0.5000)  4 F 2.43
Cr (0.2500, 0.7500, 0.5000)  4 F 2.43
F (0.2515, 0.2515, 0.4969)  1 V 2.07
F (0.7485, 0.7485, 0.5031)  1 V 2.07

## Properties
DOS(E_F) in states/eV per cell: 1.89
Total magnetic moment in μB per formula unit: 13.231
Final energy in eV/atom: -5.69
SG: I4/mmm (139)
Energy above the lowest structure with this stoichiometry in eV/f.u.: 1.57


[6]
Density functional theory data (PBE with a Hubbard U) for a relaxed structure of VCrF2.

a b c (Å): 6.7674 6.7674 6.7674
angles (deg): 28.99 28.99 28.99
Last column: nearest neighbours and their distance in Å.
Positions (direct):
Cr (0.5000, 0.5000, 0.5000)  6 F 2.24
F (0.8892, 0.8892, 0.8892)  1 V 2.15, 3 Cr 2.24
V (0.0000, 0.0000, 0.0000)  2 F 2.15
F (0.1108, 0.1108, 0.1108)  1 V 2.15, 3 Cr 2.24

## Properties
DOS(E_F) in states/eV per cell: 4.99
Total magnetic moment in μB per formula unit: 8.116
Final energy in eV/atom: -5.83
SG: R-3m (166)
Energy above the lowest structure with this stoichiometry in eV/f.u.: 0.00


> Among the records above, which one has the highest DOS(E_F)?

UCr4F12


> The lowest final energy belongs to which entry?

UCr4F12


Copy entry 6 word for word.
Density functional theory data (PBE with a Hubbard U) for a relaxed structure of VCrF2.

a b c (Å): 6.7674 6.7674 6.7674
angles (deg): 28.99 28.99 28.99
Last column: nearest neighbours and their distance in Å.
Positions (direct):
Cr (0.5000, 0.5000, 0.5000)  6 F 2.24
F (0.8892, 0.8892, 0.8892)  1 V 2.15, 3 Cr 2.24
V (0.0000, 0.0000, 0.0000)  2 F 2.15
F (0.1108, 0.1108, 0.1108)  1 V 2.15, 3 Cr 2.24

## Properties
DOS(E_F) in states/eV per cell: 4.99
Total magnetic moment in μB per formula unit: 8.116
Final energy in eV/atom: -5.83
SG: R-3m (166)
Energy above the lowest structure with this stoichiometry in eV/f.u.: 0.00


> The highest total magnetic moment belongs to which entry?

UCr4F12